# Zn2CrRu (PBE, optimized geometry)
data_Zn2CrRu
_chemical_formula_sum 'Zn4 Cr2 Ru2'
_space_group_name_H-M_alt 'I m m 2'
_space_group_IT_number 44
_cell_length_a 3.100
_cell_length_b 4.270
_cell_length_c 8.306
_cell_angle_alpha 90.00
_cell_angle_beta 90.00
_cell_angle_gamma 90.00
loop_
_space_group_symop_operation_xyz
'x,y,z'
'-x,-y,z'
'-x,y,z'
'x,-y,z'
'x+1/2,y+1/2,z+1/2'
'-x+1/2,-y+1/2,z+1/2'
'-x+1/2,y+1/2,z+1/2'
'x+1/2,-y+1/2,z+1/2'
loop_
_atom_site_label
_atom_site_type_symbol
_atom_site_fract_x
_atom_site_fract_y
_atom_site_fract_z
_atom_site_occupancy
Zn1 Zn 0.000 0.000 0.000 1
Zn2 Zn 0.000 0.500 0.254 1
Cr1 Cr 0.000 0.500 0.758 1
Ru1 Ru 0.000 0.000 0.496 1
# energy of formation: 111.4 meV per atom
# D(E_F): 4.1 states/eV/f.u.
# raw total energy: -5.2504 eV per atom



# Zn2CrRu (PBE, optimized geometry)
data_Zn2CrRu
_chemical_formula_sum 'Zn4 Cr2 Ru2'
_space_group_name_H-M_alt 'I 4/m m m'
_space_group_IT_number 139
_space_group_name_Hall '-I 4 2'
_cell_length_a 3.731
_cell_length_b 3.731
_cell_length_c 7.989
_cell_angle_alpha 90.00
_cell_angle_beta 90.00
_cell_angle_gamma 90.00
loop_
_atom_site_label
_atom_site_type_symbol
_atom_site_fract_x
_atom_site_fract_y
_atom_site_fract_z
_atom_site_occupancy
Zn1 Zn 0.000 0.500 0.250 1
Cr1 Cr 0.000 0.000 0.000 1
Ru1 Ru 0.000 0.000 0.500 1
# energy of formation: 84.8 meV per atom
# D(E_F): 4.5 states/eV/f.u.
# raw total energy: -5.2770 eV per atom



# Zn2CrRu (PBE, optimized geometry)
data_Zn2CrRu
_chemical_formula_sum 'Zn4 Cr2 Ru2'
_space_group_name_H-M_alt 'C 1 2/m 1'
_space_group_IT_number 12
_cell_length_a 5.125
_cell_length_b 8.756
_cell_length_c 2.736
_cell_angle_alpha 90.00
_cell_angle_beta 113.03
_cell_angle_gamma 90.00
loop_
_space_group_symop_operation_xyz
'x,y,z'
'-x,-y,-z'
'-x,y,-z'
'x,-y,z'
'x+1/2,y+1/2,z'
'-x+1/2,-y+1/2,-z'
'-x+1/2,y+1/2,-z'
'x+1/2,-y+1/2,z'
loop_
_atom_site_label
_atom_site_type_symbol
_atom_site_fract_x
_atom_site_fract_y
_atom_site_fract_z
_atom_site_occupancy
Zn1 Zn 0.250 0.250 0.000 1
Cr1 Cr 0.000 0.000 0.500 1
Ru1 Ru 0.000 0.500 0.500 1
# energy of formation: 194.2 meV per atom
# D(E_F): 3.1 states/eV/f.u.
# raw total energy: -5.1676 eV per atom



# ZnCrRu (PBE, optimized geometry)
data_ZnCrRu
_chemical_formula_sum 'Zn4 Cr4 Ru4'
_space_group_name_H-M_alt 'C m c m'
_space_group_IT_number 63
_space_group_name_Hall '-C 2c 2'
_cell_length_a 3.556
_cell_length_b 11.635
_cell_length_c 3.887
_cell_angle_alpha 90.00
_cell_angle_beta 90.00
_cell_angle_gamma 90.00
loop_
_atom_site_label
_atom_site_type_symbol
_atom_site_fract_x
_atom_site_fract_y
_atom_site_fract_z
_atom_site_occupancy
Zn1 Zn 0.000 0.080 0.250 1
Cr1 Cr 0.000 0.244 0.750 1
Ru1 Ru 0.000 0.397 0.250 1
# energy of formation: 111.6 meV per atom
# D(E_F): 3.1 states/eV/f.u.
# raw total energy: -6.6128 eV per atom



Please write out number 4 again, unchanged.
# ZnCrRu (PBE, optimized geometry)
data_ZnCrRu
_chemical_formula_sum 'Zn4 Cr4 Ru4'
_space_group_name_H-M_alt 'C m c m'
_space_group_IT_number 63
_space_group_name_Hall '-C 2c 2'
_cell_length_a 3.556
_cell_length_b 11.635
_cell_length_c 3.887
_cell_angle_alpha 90.00
_cell_angle_beta 90.00
_cell_angle_gamma 90.00
loop_
_atom_site_label
_atom_site_type_symbol
_atom_site_fract_x
_atom_site_fract_y
_atom_site_fract_z
_atom_site_occupancy
Zn1 Zn 0.000 0.080 0.250 1
Cr1 Cr 0.000 0.244 0.750 1
Ru1 Ru 0.000 0.397 0.250 1
# energy of formation: 111.6 meV per atom
# D(E_F): 3.1 states/eV/f.u.
# raw total energy: -6.6128 eV per atom



What is the D(E_F) in the first record? 4.1 states/eV/f.u.



The highest energy of formation belongs to which entry? number 3